Entry 1:
{
  "formula": "TiNbO2",
  "functional": "PBE",
  "state": "optimized geometry",
  "cell": [[-0.1544, -4.3869, 1.8375], [3.4817, -1.3567, -2.9466], [4.8579, -1.6407, 2.6529]],
  "species": ["O", "O", "O", "O", "Ti", "Ti", "Nb", "Nb"],
  "fractional_positions": [[0.5813, 0.1250, 0.2500], [0.8750, 0.8313, 0.7500], [0.3750, 0.4187, 0.7500], [0.1687, 0.6250, 0.2500], [0.2500, 0.7500, 0.5000], [0.5000, 0.5000, 0.0000], [0.7500, 0.2500, 0.5000], [0.0000, 0.0000, 0.0000]],
  "energy_ev_per_cell": -69.53,
  "crystal_system": "tetragonal",
  "raw_formation_energy_mev_per_atom": -1721,
  "magnetic_moment_mub_per_fu": 0.00
}

=====

Entry 2:
{
  "formula": "PmPuBi2",
  "functional": "PBE",
  "state": "optimized geometry",
  "cell": [[4.5344, 0.0000, 0.0000], [2.2672, 3.9269, 0.0000], [2.2672, 1.3090, 7.6905]],
  "species": ["Pu", "Pm", "Bi", "Bi"],
  "fractional_positions": [[0.6687, 0.6687, 0.9938], [0.4978, 0.4978, 0.5065], [0.2529, 0.2529, 0.2414], [0.0806, 0.0806, 0.7582]],
  "energy_ev_per_cell": -28.97,
  "crystal_system": "trigonal",
  "ef_mev_per_atom": -532,
  "magnetic_moment_mub_per_fu": 5.06
}

=====

| no. | D(E_F) (states/eV per cell) |
| --- | --- |
| 1 | 9.27 |
| 2 | 14.65 |